No. 1
# SnGe2S3 | Alexandria via LeMat-Bulk | GGA-PBE | optimized geometry
# energy relative to the elements, uncorrected: -0.1928 eV per atom
# calculated total energy: -4.463 eV/atom
# spin magnetization: 0.0 μB per formula unit
# symmetry: P-1
data_SnGe2S3
_cell_length_a 5.751
_cell_length_b 8.771
_cell_length_c 9.314
_cell_angle_alpha 135.35
_cell_angle_beta 108.01
_cell_angle_gamma 90.01
_space_group_name_H-M_alt 'P 1'
_space_group_IT_number 1
loop_
_space_group_symop_operation_xyz
'x,y,z'
loop_
_atom_site_label
_atom_site_type_symbol
_atom_site_fract_x
_atom_site_fract_y
_atom_site_fract_z
_atom_site_occupancy
Sn1 Sn 0.741 0.251 0.000 1
Sn2 Sn 0.259 0.749 0.000 1
Ge1 Ge 0.611 0.318 0.695 1
Ge2 Ge 0.085 0.821 0.698 1
Ge3 Ge 0.915 0.179 0.302 1
Ge4 Ge 0.389 0.682 0.305 1
S1 S 0.714 0.749 0.000 1
S2 S 0.286 0.251 0.000 1
S3 S 0.649 0.774 0.626 1
S4 S 0.024 0.727 0.376 1
S5 S 0.976 0.273 0.624 1
S6 S 0.351 0.226 0.374 1

No. 2
# SrCa2Cu | Alexandria via LeMat-Bulk | GGA-PBE | optimized geometry
# distance to the lowest polymorph of the same formula: 4.3 kJ/mol of atoms
# calculated total energy: -2.446 eV/atom
# spin magnetization: 0.0 μB per formula unit
# DOS at the Fermi energy: 4.1 states/eV/f.u.
# symmetry: Pm
data_SrCa2Cu
_cell_length_a 3.773
_cell_length_b 3.765
_cell_length_c 10.390
_cell_angle_alpha 68.68
_cell_angle_beta 90.00
_cell_angle_gamma 90.00
_space_group_name_H-M_alt 'P 1'
_space_group_IT_number 1
loop_
_space_group_symop_operation_xyz
'x,y,z'
loop_
_atom_site_label
_atom_site_type_symbol
_atom_site_fract_x
_atom_site_fract_y
_atom_site_fract_z
_atom_site_occupancy
Sr1 Sr 0.500 0.815 0.684 1
Ca1 Ca 0.000 0.985 0.015 1
Ca2 Ca 0.500 0.183 0.317 1
Cu1 Cu 0.000 0.517 0.484 1

No. 3
# Tb4Tl3Os | Alexandria via LeMat-Bulk | GGA-PBE | optimized geometry
# calculated total energy: -4.924 eV/atom
# spin magnetization: 0.3 μB per formula unit
# DOS at the Fermi energy: 5.4 states/eV/f.u.
# symmetry: P4/mmm
data_Tb4Tl3Os
_cell_length_a 3.552
_cell_length_b 3.552
_cell_length_c 16.265
_cell_angle_alpha 90.00
_cell_angle_beta 90.00
_cell_angle_gamma 90.00
_space_group_name_H-M_alt 'P 1'
_space_group_IT_number 1
loop_
_space_group_symop_operation_xyz
'x,y,z'
loop_
_atom_site_label
_atom_site_type_symbol
_atom_site_fract_x
_atom_site_fract_y
_atom_site_fract_z
_atom_site_occupancy
Os1 Os 0.500 0.500 0.000 1
Tl1 Tl 0.500 0.500 0.239 1
Tl2 Tl 0.500 0.500 0.500 1
Tl3 Tl 0.500 0.500 0.761 1
Tb1 Tb 0.000 0.000 0.900 1
Tb2 Tb 0.000 0.000 0.100 1
Tb3 Tb 0.000 0.000 0.368 1
Tb4 Tb 0.000 0.000 0.632 1

No. 4
# Mn2AlNiH | Alexandria via LeMat-Bulk | GGA-PBE | optimized geometry
# distance to the lowest polymorph of the same formula: 11.0 kJ/mol of atoms
# calculated total energy: -6.341 eV/atom
# spin magnetization: 5.2 μB per formula unit
# DOS at the Fermi energy: 4.4 states/eV/f.u.
# symmetry: P4/mmm
data_Mn2AlNiH
_cell_length_a 3.616
_cell_length_b 3.616
_cell_length_c 3.953
_cell_angle_alpha 90.00
_cell_angle_beta 90.00
_cell_angle_gamma 90.00
_space_group_name_H-M_alt 'P 1'
_space_group_IT_number 1
loop_
_space_group_symop_operation_xyz
'x,y,z'
loop_
_atom_site_label
_atom_site_type_symbol
_atom_site_fract_x
_atom_site_fract_y
_atom_site_fract_z
_atom_site_occupancy
Ni1 Ni 0.500 0.500 0.500 1
Mn1 Mn 0.000 0.500 0.000 1
Mn2 Mn 0.500 0.000 0.000 1
Al1 Al 0.000 0.000 0.500 1
H1 H 0.000 0.000 0.000 1

No. 5
# Sm4CoSb | Alexandria via LeMat-Bulk | GGA-PBE | optimized geometry
# energy relative to the elements, uncorrected: -0.3538 eV per atom
# distance to the lowest polymorph of the same formula: 6.4 kJ/mol of atoms
# calculated total energy: -5.371 eV/atom
# spin magnetization: 0.0 μB per formula unit
# DOS at the Fermi energy: 4.5 states/eV/f.u.
# symmetry: C2/c
data_Sm4CoSb
_cell_length_a 5.999
_cell_length_b 7.613
_cell_length_c 8.356
_cell_angle_alpha 105.68
_cell_angle_beta 111.04
_cell_angle_gamma 90.00
_space_group_name_H-M_alt 'P 1'
_space_group_IT_number 1
loop_
_space_group_symop_operation_xyz
'x,y,z'
loop_
_atom_site_label
_atom_site_type_symbol
_atom_site_fract_x
_atom_site_fract_y
_atom_site_fract_z
_atom_site_occupancy
Sm1 Sm 0.544 0.054 0.835 1
Sm2 Sm 0.709 0.446 0.165 1
Sm3 Sm 0.456 0.946 0.165 1
Sm4 Sm 0.291 0.554 0.835 1
Sm5 Sm 0.925 0.854 0.637 1
Sm6 Sm 0.288 0.646 0.363 1
Sm7 Sm 0.075 0.146 0.363 1
Sm8 Sm 0.712 0.354 0.637 1
Co1 Co 0.500 0.000 0.500 1
Co2 Co 0.000 0.500 0.500 1
Sb1 Sb 0.873 0.750 0.000 1
Sb2 Sb 0.127 0.250 0.000 1

No. 6
# Pm3Al | Alexandria via LeMat-Bulk | GGA-PBE | optimized geometry
# distance to the lowest polymorph of the same formula: 11.7 kJ/mol of atoms
# calculated total energy: -4.563 eV/atom
# spin magnetization: 0.0 μB per formula unit
# DOS at the Fermi energy: 5.8 states/eV/f.u.
# symmetry: Pmm2
data_Pm3Al
_cell_length_a 5.469
_cell_length_b 3.588
_cell_length_c 5.977
_cell_angle_alpha 90.00
_cell_angle_beta 90.00
_cell_angle_gamma 90.00
_space_group_name_H-M_alt 'P 1'
_space_group_IT_number 1
loop_
_space_group_symop_operation_xyz
'x,y,z'
loop_
_atom_site_label
_atom_site_type_symbol
_atom_site_fract_x
_atom_site_fract_y
_atom_site_fract_z
_atom_site_occupancy
Al1 Al 0.500 0.000 0.671 1
Pm1 Pm 0.000 0.000 0.985 1
Pm2 Pm 0.000 0.500 0.530 1
Pm3 Pm 0.500 0.500 0.147 1